Record 1
First-principles (PBE-GGA) data for crystalline CrTeAs2 at its relaxed geometry, as listed in Alexandria via LeMat-Bulk.

a b c (Å): 3.652 3.652 8.737
angles (deg): 101.58 101.58 50.92
Atoms (fractional coordinates):
Te1 0.750 0.750 0.750
Cr1 0.250 0.250 0.250
As1 0.613 0.613 0.417
As2 0.887 0.887 0.083

Results
As for the total magnetic moment: 1.66 μB/f.u. The calculation puts the formation energy from raw total energies at 0.088 eV per atom.

=====

Record 2
First-principles (PBE-GGA) data for crystalline CrTe2As2 at its relaxed geometry, as listed in Alexandria via LeMat-Bulk.

a b c (Å): 6.474 6.474 5.917
angles (deg): 90.00 90.00 90.00
Atoms (fractional coordinates):
Te1 0.795 0.705 0.500
Te2 0.205 0.295 0.500
Te3 0.705 0.205 0.500
Te4 0.295 0.795 0.500
As1 0.861 0.639 0.000
As2 0.361 0.861 0.000
As3 0.639 0.139 0.000
As4 0.139 0.361 0.000
Cr1 0.500 0.500 0.000
Cr2 0.000 0.000 0.000

Results
As for the total magnetic moment: 3.67 μB/f.u. The calculation puts the formation energy from raw total energies at 0.185 eV per atom.

=====

Question: Which value of formation energy from raw total energies does entry 2 give?
Answer: 0.185 eV per atom

=====

Question: Look up the total magnetic moment of the first one.
Answer: 1.66 μB/f.u.

=====

Question: Which of these has the highest formation energy from raw total energies?
Answer: CrTe2As2